# TlFeAgTeS2

A geometry-optimized TlFeAgTeS2 structure (PBE, OQMD).

a b c (Å): 8.071 8.071 10.509
angles (deg): 90.00 90.00 156.12
Sites, in units of the cell vectors:
Tl (0.210, 0.790, 0.750)
Tl (0.790, 0.210, 0.250)
Fe (0.500, 0.500, 0.000)
Fe (0.500, 0.500, 0.500)
Ag (0.129, 0.871, 0.250)
Ag (0.871, 0.129, 0.750)
Te (0.462, 0.538, 0.250)
Te (0.538, 0.462, 0.750)
S (0.100, 0.900, 0.016)
S (0.100, 0.900, 0.484)
S (0.900, 0.100, 0.516)
S (0.900, 0.100, 0.984)

Values from the calculation:
Its size of the total moment is 0.319 μB per atom. For the total energy, the calculation gives -4.2654 eV/atom. As for the space-group type: Cmcm (63).

---

# TlFeAgS3

A geometry-optimized TlFeAgS3 structure (PBE, OQMD).

a b c (Å): 7.334 7.334 10.121
angles (deg): 90.00 90.00 153.19
Sites, in units of the cell vectors:
Tl (0.193, 0.807, 0.750)
Tl (0.807, 0.193, 0.250)
Fe (0.500, 0.500, 0.000)
Fe (0.500, 0.500, 0.500)
Ag (0.132, 0.868, 0.250)
Ag (0.868, 0.132, 0.750)
S (0.108, 0.892, 0.012)
S (0.108, 0.892, 0.488)
S (0.470, 0.530, 0.250)
S (0.530, 0.470, 0.750)
S (0.892, 0.108, 0.512)
S (0.892, 0.108, 0.988)

Values from the calculation:
Its size of the total moment is 0.407 μB per atom. For the total energy, the calculation gives -4.4215 eV/atom. As for the space-group type: Cmcm (63).

---

# ScFeAgSb

A geometry-optimized ScFeAgSb structure (PBE, OQMD).

a b c (Å): 6.531 6.531 6.531
angles (deg): 90.00 90.00 90.00
Sites, in units of the cell vectors:
Sc (0.000, 0.000, 0.000)
Sc (0.000, 0.500, 0.500)
Sc (0.500, 0.000, 0.500)
Sc (0.500, 0.500, 0.000)
Fe (0.000, 0.000, 0.500)
Fe (0.000, 0.500, 0.000)
Fe (0.500, 0.000, 0.000)
Fe (0.500, 0.500, 0.500)
Ag (0.250, 0.250, 0.750)
Ag (0.250, 0.750, 0.250)
Ag (0.750, 0.250, 0.250)
Ag (0.750, 0.750, 0.750)
Sb (0.250, 0.250, 0.250)
Sb (0.250, 0.750, 0.750)
Sb (0.750, 0.250, 0.750)
Sb (0.750, 0.750, 0.250)

Values from the calculation:
The energy above the most stable polymorph in this dataset is 0.0 meV per atom. Its size of the total moment is 0.536 μB per atom. As for the space-group type: F-43m (216).

---

# ScFeAgSb

A geometry-optimized ScFeAgSb structure (PBE, OQMD).

a b c (Å): 6.586 6.586 6.586
angles (deg): 90.00 90.00 90.00
Sites, in units of the cell vectors:
Sc (0.000, 0.000, 0.000)
Sc (0.000, 0.500, 0.500)
Sc (0.500, 0.000, 0.500)
Sc (0.500, 0.500, 0.000)
Fe (0.250, 0.250, 0.750)
Fe (0.250, 0.750, 0.250)
Fe (0.750, 0.250, 0.250)
Fe (0.750, 0.750, 0.750)
Ag (0.250, 0.250, 0.250)
Ag (0.250, 0.750, 0.750)
Ag (0.750, 0.250, 0.750)
Ag (0.750, 0.750, 0.250)
Sb (0.000, 0.000, 0.500)
Sb (0.000, 0.500, 0.000)
Sb (0.500, 0.000, 0.000)
Sb (0.500, 0.500, 0.500)

Values from the calculation:
The energy above the most stable polymorph in this dataset is 15.6 meV per atom. Its size of the total moment is 0.379 μB per atom. As for the space-group type: F-43m (216).

---

# FeAgSbW

A geometry-optimized FeAgSbW structure (PBE, OQMD).

a b c (Å): 6.428 6.428 6.428
angles (deg): 90.00 90.00 90.00
Sites, in units of the cell vectors:
Fe (0.000, 0.000, 0.000)
Fe (0.000, 0.500, 0.500)
Fe (0.500, 0.000, 0.500)
Fe (0.500, 0.500, 0.000)
Ag (0.250, 0.250, 0.250)
Ag (0.250, 0.750, 0.750)
Ag (0.750, 0.250, 0.750)
Ag (0.750, 0.750, 0.250)
Sb (0.250, 0.250, 0.750)
Sb (0.250, 0.750, 0.250)
Sb (0.750, 0.250, 0.250)
Sb (0.750, 0.750, 0.750)
W (0.000, 0.000, 0.500)
W (0.000, 0.500, 0.000)
W (0.500, 0.000, 0.000)
W (0.500, 0.500, 0.500)

Values from the calculation:
The energy above the most stable polymorph in this dataset is 0.0 meV per atom. Its size of the total moment is 0.609 μB per atom. As for the space-group type: F-43m (216).

---

# YFeAgSb

A geometry-optimized YFeAgSb structure (PBE, OQMD).

a b c (Å): 6.822 6.822 6.822
angles (deg): 90.00 90.00 90.00
Sites, in units of the cell vectors:
Y (0.000, 0.000, 0.000)
Y (0.000, 0.500, 0.500)
Y (0.500, 0.000, 0.500)
Y (0.500, 0.500, 0.000)
Fe (0.250, 0.250, 0.750)
Fe (0.250, 0.750, 0.250)
Fe (0.750, 0.250, 0.250)
Fe (0.750, 0.750, 0.750)
Ag (0.250, 0.250, 0.250)
Ag (0.250, 0.750, 0.750)
Ag (0.750, 0.250, 0.750)
Ag (0.750, 0.750, 0.250)
Sb (0.000, 0.000, 0.500)
Sb (0.000, 0.500, 0.000)
Sb (0.500, 0.000, 0.000)
Sb (0.500, 0.500, 0.500)

Values from the calculation:
The energy above the most stable polymorph in this dataset is 33.2 meV per atom. Its size of the total moment is 0.447 μB per atom. As for the space-group type: F-43m (216).

---

# YFeAgSb

A geometry-optimized YFeAgSb structure (PBE, OQMD).

a b c (Å): 6.925 6.925 6.925
angles (deg): 90.00 90.00 90.00
Sites, in units of the cell vectors:
Y (0.000, 0.000, 0.000)
Y (0.000, 0.500, 0.500)
Y (0.500, 0.000, 0.500)
Y (0.500, 0.500, 0.000)
Fe (0.000, 0.000, 0.500)
Fe (0.000, 0.500, 0.000)
Fe (0.500, 0.000, 0.000)
Fe (0.500, 0.500, 0.500)
Ag (0.250, 0.250, 0.750)
Ag (0.250, 0.750, 0.250)
Ag (0.750, 0.250, 0.250)
Ag (0.750, 0.750, 0.750)
Sb (0.250, 0.250, 0.250)
Sb (0.250, 0.750, 0.750)
Sb (0.750, 0.250, 0.750)
Sb (0.750, 0.750, 0.250)

Values from the calculation:
The energy above the most stable polymorph in this dataset is 0.0 meV per atom. Its size of the total moment is 0.667 μB per atom. As for the space-group type: F-43m (216).

---

# ScFeAg2

A geometry-optimized ScFeAg2 structure (PBE, OQMD).

a b c (Å): 6.429 6.429 6.429
angles (deg): 90.00 90.00 90.00
Sites, in units of the cell vectors:
Sc (0.000, 0.000, 0.000)
Sc (0.000, 0.500, 0.500)
Sc (0.500, 0.000, 0.500)
Sc (0.500, 0.500, 0.000)
Fe (0.250, 0.250, 0.250)
Fe (0.250, 0.750, 0.750)
Fe (0.750, 0.250, 0.750)
Fe (0.750, 0.750, 0.250)
Ag (0.000, 0.000, 0.500)
Ag (0.000, 0.500, 0.000)
Ag (0.250, 0.250, 0.750)
Ag (0.250, 0.750, 0.250)
Ag (0.500, 0.000, 0.000)
Ag (0.500, 0.500, 0.500)
Ag (0.750, 0.250, 0.250)
Ag (0.750, 0.750, 0.750)

Values from the calculation:
Its size of the total moment is 0.525 μB per atom. As for the space-group type: F-43m (216). As for the calculated formation energy: 0.13 eV/atom.